Here is crystalline CuAg2W at its relaxed geometry from Alexandria via LeMat-Bulk. Energies are from GGA-PBE.

```
CuAg2W
1.0
2.7710 0.0000 0.0000
0.0000 2.7710 0.0000
0.0000 0.0000 8.2562
Cu Ag W
1 2 1
Cartesian
0.0000 0.0000 0.0000
0.0000 0.0000 4.0470
1.3855 1.3855 6.2969
1.3855 1.3855 1.8283
```

Summary:
Energy above the most stable polymorph in this dataset, meV per atom: 0.0
DOS at the Fermi energy, states/eV per cell: 3.78
Formation energy from the elements, kJ/mol of atoms: 33